[1]
A geometry-optimized PrThC structure. Source: Alexandria, functional GGA-PBE.

Cell lengths 6.5517, 3.6843, 3.6843 Å; angles 120.00, 90.00, 90.00 degrees
Fractional coordinates of all 3 atoms:
Pr 0.7737 0.6667 0.3333
C 0.0130 0.0000 0.0000
Th 0.2132 0.3333 0.6667

As for the space-group type: No. 156. The crystal system is trigonal. The calculation puts the offset from the most stable computed form at 0.018 eV per atom. The value obtained for the formation energy from the elements is -3.41 kcal/mol of atoms.



[2]
A geometry-optimized Pr2ThC structure. Source: Alexandria, functional GGA-PBE.

Cell lengths 3.6118, 3.6118, 10.4266 Å; angles 80.03, 80.03, 60.00 degrees
Fractional coordinates of all 4 atoms:
Pr 0.1192 0.1192 0.6423
Pr 0.8808 0.8808 0.3577
C 0.5000 0.5000 0.5000
Th 0.0000 0.0000 0.0000

As for the space-group type: No. 166. The crystal system is trigonal. The value obtained for the formation energy from the elements is 3.13 kcal/mol of atoms.